# 1
# SrTaH, optimized geometry, DFT PBE
data_SrTaH
_cell_length_a 15.122
_cell_length_b 4.712
_cell_length_c 4.712
_cell_angle_alpha 118.65
_cell_angle_beta 139.45
_cell_angle_gamma 40.55
_space_group_name_H-M_alt 'P 1'
_space_group_IT_number 1
_space_group_name_Hall 'P 1'
loop_
_atom_site_label
_atom_site_type_symbol
_atom_site_fract_x
_atom_site_fract_y
_atom_site_fract_z
Sr1 Sr 0.292 0.134 0.098
Sr2 Sr 0.708 0.098 0.134
H1 H 0.197 0.787 0.936
H2 H 0.803 0.936 0.787
Ta1 Ta 0.998 0.952 0.276
Ta2 Ta 0.002 0.276 0.952
# Symmetry   No. 5
# Total magnetic moment   0.0 Bohr magnetons per cell
# Energy relative to the lowest polymorph listed for this composition   225 meV/atom
# Calculated total energy   -5.4357 eV per atom


# 2
# SrTa3H, optimized geometry, DFT PBE
data_SrTa3H
_cell_length_a 4.933
_cell_length_b 4.933
_cell_length_c 4.933
_cell_angle_alpha 90.00
_cell_angle_beta 90.00
_cell_angle_gamma 90.00
_space_group_name_H-M_alt 'P 1'
_space_group_IT_number 1
_space_group_name_Hall 'P 1'
loop_
_atom_site_label
_atom_site_type_symbol
_atom_site_fract_x
_atom_site_fract_y
_atom_site_fract_z
Sr1 Sr 0.000 0.000 0.000
H1 H 0.500 0.500 0.500
Ta1 Ta 0.000 0.500 0.000
Ta2 Ta 0.000 0.000 0.500
Ta3 Ta 0.500 0.000 0.000
# Symmetry   No. 221
# Total magnetic moment   0.0 Bohr magnetons per cell
# Energy relative to the lowest polymorph listed for this composition   2785 meV/atom
# Calculated total energy   -4.4720 eV per atom


# 3
# SrTaH, optimized geometry, DFT PBE
data_SrTaH
_cell_length_a 3.490
_cell_length_b 3.746
_cell_length_c 9.766
_cell_angle_alpha 90.00
_cell_angle_beta 91.33
_cell_angle_gamma 90.00
_space_group_name_H-M_alt 'P 1'
_space_group_IT_number 1
_space_group_name_Hall 'P 1'
loop_
_atom_site_label
_atom_site_type_symbol
_atom_site_fract_x
_atom_site_fract_y
_atom_site_fract_z
Sr1 Sr 0.166 0.000 0.597
Sr2 Sr 0.645 0.500 0.224
H1 H 0.027 0.500 0.016
H2 H 0.175 0.500 0.741
Ta1 Ta 0.695 0.500 0.852
Ta2 Ta 0.173 0.000 0.978
# Symmetry   No. 6
# Total magnetic moment   0.0 Bohr magnetons per cell
# Energy relative to the lowest polymorph listed for this composition   217 meV/atom
# Calculated total energy   -5.4438 eV per atom


# 4
# SrTaH, optimized geometry, DFT PBE
data_SrTaH
_cell_length_a 5.291
_cell_length_b 5.291
_cell_length_c 2.792
_cell_angle_alpha 90.00
_cell_angle_beta 90.00
_cell_angle_gamma 120.00
_space_group_name_H-M_alt 'P 1'
_space_group_IT_number 1
_space_group_name_Hall 'P 1'
loop_
_atom_site_label
_atom_site_type_symbol
_atom_site_fract_x
_atom_site_fract_y
_atom_site_fract_z
Sr1 Sr 0.000 0.000 0.000
H1 H 0.667 0.333 0.500
Ta1 Ta 0.333 0.667 0.000
# Symmetry   No. 187
# Total magnetic moment   0.8 Bohr magnetons per cell
# Energy relative to the lowest polymorph listed for this composition   1901 meV/atom
# Calculated total energy   -3.7596 eV per atom


# 5
# SrTaH3, optimized geometry, DFT PBE
data_SrTaH3
_cell_length_a 4.085
_cell_length_b 4.085
_cell_length_c 4.085
_cell_angle_alpha 90.00
_cell_angle_beta 90.00
_cell_angle_gamma 90.00
_space_group_name_H-M_alt 'P 1'
_space_group_IT_number 1
_space_group_name_Hall 'P 1'
loop_
_atom_site_label
_atom_site_type_symbol
_atom_site_fract_x
_atom_site_fract_y
_atom_site_fract_z
Sr1 Sr 0.000 0.000 0.000
H1 H 0.000 0.500 0.000
H2 H 0.000 0.000 0.500
H3 H 0.500 0.000 0.000
Ta1 Ta 0.500 0.500 0.500
# Symmetry   No. 221
# Total magnetic moment   0.0 Bohr magnetons per cell
# Energy relative to the lowest polymorph listed for this composition   1145 meV/atom
# Calculated total energy   -3.5699 eV per atom


# 6
# Sr3TaH, optimized geometry, DFT PBE
data_Sr3TaH
_cell_length_a 5.291
_cell_length_b 5.291
_cell_length_c 5.291
_cell_angle_alpha 90.00
_cell_angle_beta 90.00
_cell_angle_gamma 90.00
_space_group_name_H-M_alt 'P 1'
_space_group_IT_number 1
_space_group_name_Hall 'P 1'
loop_
_atom_site_label
_atom_site_type_symbol
_atom_site_fract_x
_atom_site_fract_y
_atom_site_fract_z
Sr1 Sr 0.000 0.500 0.000
Sr2 Sr 0.000 0.000 0.500
Sr3 Sr 0.500 0.000 0.000
H1 H 0.000 0.000 0.000
Ta1 Ta 0.500 0.500 0.500
# Symmetry   No. 221
# Total magnetic moment   3.4 Bohr magnetons per cell
# Energy relative to the lowest polymorph listed for this composition   0 meV/atom
# Calculated total energy   -3.4985 eV per atom


# 7
# SrTaH2, optimized geometry, DFT PBE
data_SrTaH2
_cell_length_a 4.406
_cell_length_b 4.406
_cell_length_c 4.406
_cell_angle_alpha 60.00
_cell_angle_beta 60.00
_cell_angle_gamma 60.00
_space_group_name_H-M_alt 'P 1'
_space_group_IT_number 1
_space_group_name_Hall 'P 1'
loop_
_atom_site_label
_atom_site_type_symbol
_atom_site_fract_x
_atom_site_fract_y
_atom_site_fract_z
Sr1 Sr 0.000 0.000 0.000
H1 H 0.250 0.250 0.250
H2 H 0.750 0.750 0.750
Ta1 Ta 0.500 0.500 0.500
# Symmetry   No. 225
# Total magnetic moment   1.9 Bohr magnetons per cell
# Energy relative to the lowest polymorph listed for this composition   940 meV/atom
# Calculated total energy   -3.9649 eV per atom


# 8
# SrTa2H, optimized geometry, DFT PBE
data_SrTa2H
_cell_length_a 4.746
_cell_length_b 4.746
_cell_length_c 4.746
_cell_angle_alpha 60.00
_cell_angle_beta 60.00
_cell_angle_gamma 60.00
_space_group_name_H-M_alt 'P 1'
_space_group_IT_number 1
_space_group_name_Hall 'P 1'
loop_
_atom_site_label
_atom_site_type_symbol
_atom_site_fract_x
_atom_site_fract_y
_atom_site_fract_z
Sr1 Sr 0.500 0.500 0.500
H1 H 0.000 0.000 0.000
Ta1 Ta 0.250 0.250 0.250
Ta2 Ta 0.750 0.750 0.750
# Symmetry   No. 225
# Total magnetic moment   0.0 Bohr magnetons per cell
# Energy relative to the lowest polymorph listed for this composition   1678 meV/atom
# Calculated total energy   -5.0477 eV per atom


# 9
# SrTaH, optimized geometry, DFT PBE
data_SrTaH
_cell_length_a 7.570
_cell_length_b 4.823
_cell_length_c 4.728
_cell_angle_alpha 60.52
_cell_angle_beta 71.77
_cell_angle_gamma 91.58
_space_group_name_H-M_alt 'P 1'
_space_group_IT_number 1
_space_group_name_Hall 'P 1'
loop_
_atom_site_label
_atom_site_type_symbol
_atom_site_fract_x
_atom_site_fract_y
_atom_site_fract_z
Sr1 Sr 0.633 0.380 0.154
Sr2 Sr 0.232 0.597 0.747
H1 H 0.740 0.405 0.588
H2 H 0.936 0.257 0.954
Ta1 Ta 0.933 0.138 0.620
Ta2 Ta 0.933 0.816 0.280
# Symmetry   No. 1
# Total magnetic moment   0.0 Bohr magnetons per cell
# Energy relative to the lowest polymorph listed for this composition   313 meV/atom
# Calculated total energy   -5.3472 eV per atom


# 10
# Sr2TaH, optimized geometry, DFT PBE
data_Sr2TaH
_cell_length_a 5.545
_cell_length_b 5.545
_cell_length_c 5.545
_cell_angle_alpha 60.00
_cell_angle_beta 60.00
_cell_angle_gamma 60.00
_space_group_name_H-M_alt 'P 1'
_space_group_IT_number 1
_space_group_name_Hall 'P 1'
loop_
_atom_site_label
_atom_site_type_symbol
_atom_site_fract_x
_atom_site_fract_y
_atom_site_fract_z
Sr1 Sr 0.250 0.250 0.250
Sr2 Sr 0.750 0.750 0.750
H1 H 0.000 0.000 0.000
Ta1 Ta 0.500 0.500 0.500
# Symmetry   No. 225
# Total magnetic moment   4.0 Bohr magnetons per cell
# Energy relative to the lowest polymorph listed for this composition   336 meV/atom
# Calculated total energy   -3.4119 eV per atom


# 11
# SrTaH, optimized geometry, DFT PBE
data_SrTaH
_cell_length_a 3.714
_cell_length_b 3.637
_cell_length_c 9.767
_cell_angle_alpha 90.00
_cell_angle_beta 91.41
_cell_angle_gamma 90.00
_space_group_name_H-M_alt 'P 1'
_space_group_IT_number 1
_space_group_name_Hall 'P 1'
loop_
_atom_site_label
_atom_site_type_symbol
_atom_site_fract_x
_atom_site_fract_y
_atom_site_fract_z
Sr1 Sr 0.545 0.500 0.624
Sr2 Sr 0.022 0.000 0.236
H1 H 0.394 0.000 0.033
H2 H 0.053 0.000 0.671
Ta1 Ta 0.075 0.000 0.872
Ta2 Ta 0.567 0.500 0.973
# Symmetry   No. 6
# Total magnetic moment   0.0 Bohr magnetons per cell
# Energy relative to the lowest polymorph listed for this composition   107 meV/atom
# Calculated total energy   -5.5533 eV per atom


# 12
# SrTaH, optimized geometry, DFT PBE
data_SrTaH
_cell_length_a 6.199
_cell_length_b 3.067
_cell_length_c 12.468
_cell_angle_alpha 90.00
_cell_angle_beta 90.00
_cell_angle_gamma 90.00
_space_group_name_H-M_alt 'P 1'
_space_group_IT_number 1
_space_group_name_Hall 'P 1'
loop_
_atom_site_label
_atom_site_type_symbol
_atom_site_fract_x
_atom_site_fract_y
_atom_site_fract_z
Sr1 Sr 0.862 0.250 0.344
Sr2 Sr 0.638 0.750 0.844
Sr3 Sr 0.138 0.750 0.656
Sr4 Sr 0.362 0.250 0.156
H1 H 0.281 0.250 0.848
H2 H 0.219 0.750 0.348
H3 H 0.719 0.750 0.152
H4 H 0.781 0.250 0.652
Ta1 Ta 0.363 0.250 0.438
Ta2 Ta 0.137 0.750 0.938
Ta3 Ta 0.637 0.750 0.562
Ta4 Ta 0.863 0.250 0.062
# Symmetry   No. 62
# Total magnetic moment   0.0 Bohr magnetons per cell
# Energy relative to the lowest polymorph listed for this composition   428 meV/atom
# Calculated total energy   -5.2326 eV per atom


> Among the records above, which one has the highest total magnetic moment?

Sr2TaH


> Number 12 is which compound?

SrTaH


> Look up the calculated total energy of the seventh one.

-3.9649 eV per atom